Record 1
Here is a geometry-optimized Y3SiNi2 structure from the Alexandria database. Energies are from PBE-GGA.

Properties
The symmetry is Pnma, No. 62. The crystal system is orthorhombic. Its formation energy (no corrections) is -48.4 kJ per mole of atoms.

POSCAR file:
```
Y3SiNi2
1.0
3.9596 0.0000 0.0000
0.0000 11.3999 0.0000
0.0000 0.0000 11.4741
Y Ni Si
12 8 4
direct
0.7500 0.5641 0.6169 Y
0.7500 0.3151 0.8072 Y
0.2500 0.3782 0.0633 Y
0.2500 0.4359 0.3831 Y
0.7500 0.8782 0.4367 Y
0.7500 0.9359 0.1169 Y
0.7500 0.6218 0.9367 Y
0.2500 0.1218 0.5633 Y
0.2500 0.8151 0.6928 Y
0.2500 0.6849 0.1928 Y
0.7500 0.1849 0.3072 Y
0.2500 0.0641 0.8831 Y
0.7500 0.1876 0.0358 Ni
0.2500 0.8124 0.9642 Ni
0.7500 0.5113 0.1962 Ni
0.2500 0.4887 0.8038 Ni
0.7500 0.9887 0.6962 Ni
0.2500 0.0113 0.3038 Ni
0.7500 0.3124 0.5358 Ni
0.2500 0.6876 0.4642 Ni
0.7500 0.8703 0.8724 Si
0.2500 0.3703 0.6276 Si
0.2500 0.1297 0.1276 Si
0.7500 0.6297 0.3724 Si
```

=====

Record 2
Here is a geometry-optimized NdGdMgSi structure from the Alexandria database. Energies are from PBE-GGA.

Properties
The symmetry is F-43m, No. 216. The crystal system is cubic. Its formation energy (no corrections) is -27.8 kJ per mole of atoms.

POSCAR file:
```
NdGdMgSi
1.0
-3.2174 0.6781 4.0149
1.2655 -1.8500 4.6804
1.2754 3.2683 3.8239
Nd Mg Gd Si
1 1 1 1
direct
0.5000 0.5000 0.5000 Nd
0.2500 0.2500 0.2500 Mg
0.0000 0.0000 0.0000 Gd
0.7500 0.7500 0.7500 Si
```

=====

Record 3
Here is a geometry-optimized KPuRhSe3 structure from the Alexandria database. Energies are from PBE-GGA.

Properties
The symmetry is P2_1/m, No. 11. The crystal system is monoclinic. Its formation energy (no corrections) is -101.1 kJ per mole of atoms.

POSCAR file:
```
KPuRhSe3
1.0
4.1328 0.0000 0.0000
0.0000 8.9561 0.3128
0.0000 -3.1272 9.0881
Rh Se Pu K
2 6 2 2
direct
0.7500 0.9195 0.4100 Rh
0.2500 0.0805 0.5900 Rh
0.2500 0.7957 0.4624 Se
0.7500 0.2043 0.5376 Se
0.2500 0.1152 0.8613 Se
0.2500 0.5463 0.8415 Se
0.7500 0.4537 0.1585 Se
0.7500 0.8848 0.1387 Se
0.7500 0.3241 0.8476 Pu
0.2500 0.6759 0.1524 Pu
0.2500 0.1963 0.2366 K
0.7500 0.8037 0.7634 K
```

=====

Record 4
Here is a geometry-optimized Tb3Pm8Pr4 structure from the Alexandria database. Energies are from PBE-GGA.

Properties
The symmetry is R-3m, No. 166. The crystal system is trigonal. The calculation puts the formation energy at 0.11 eV/atom.

POSCAR file:
```
Tb3Pm8Pr4
1.0
-5.7713 3.5361 2.0824
-6.4295 -2.2927 -1.8848
-4.5936 -6.3439 10.0828
Tb Pr Pm
3 4 8
direct
0.0000 0.0000 0.5000 Tb
0.5000 0.0000 0.5000 Tb
0.0000 0.5000 0.5000 Tb
0.3364 0.3364 0.9908 Pr
0.6636 0.6636 0.0092 Pr
0.5000 0.5000 0.5000 Pr
0.0000 0.0000 0.0000 Pr
0.7495 0.7495 0.2543 Pm
0.7534 0.2505 0.7457 Pm
0.2466 0.7495 0.2543 Pm
0.2505 0.2505 0.7457 Pm
0.2505 0.7534 0.7457 Pm
0.7545 0.7545 0.7366 Pm
0.7495 0.2466 0.2543 Pm
0.2455 0.2455 0.2634 Pm
```

=====

Record 5
Here is a geometry-optimized LiMgNb structure from the Alexandria database. Energies are from PBE-GGA.

Properties
The symmetry is P1, No. 1. The crystal system is triclinic. The calculation puts the energy above the lowest structure with this stoichiometry at 49 meV/atom. The calculation puts the formation energy at 0.21 eV/atom.

POSCAR file:
```
LiMgNb
1.0
8.5981 0.0008 0.0146
0.4480 2.7560 0.0259
-0.1532 -0.8820 4.8027
Mg Li Nb
2 2 2
direct
0.4412 0.7439 0.3234 Mg
0.1002 0.4150 0.3239 Mg
0.5758 0.1811 0.8236 Li
0.2336 0.8538 0.8239 Li
0.7801 0.0763 0.3238 Nb
0.8834 0.5267 0.8239 Nb
```

=====

Record 6
Here is a geometry-optimized CdGa2Te structure from the Alexandria database. Energies are from PBE-GGA.

Properties
The symmetry is I-42d, No. 122. The crystal system is tetragonal. The calculation puts the energy above the lowest structure with this stoichiometry at 0 meV/atom. Its formation energy (no corrections) is 3.3 kJ per mole of atoms.

POSCAR file:
```
CdGa2Te
1.0
-3.7220 4.5735 -3.0575
-5.4589 -3.5278 1.3684
-5.1874 3.3947 4.1779
Ga Cd Te
4 2 2
direct
0.1365 0.6250 0.2500 Ga
0.3750 0.3865 0.7500 Ga
0.8750 0.8635 0.7500 Ga
0.6135 0.1250 0.2500 Ga
0.5000 0.5000 0.0000 Cd
0.2500 0.7500 0.5000 Cd
0.7500 0.2500 0.5000 Te
0.0000 0.0000 0.0000 Te
```

=====

Record 7
Here is a geometry-optimized Li2LaMo structure from the Alexandria database. Energies are from PBE-GGA.

Properties
The symmetry is Pmmm, No. 47. The crystal system is orthorhombic. The calculation puts the energy above the lowest structure with this stoichiometry at 104 meV/atom. The calculation puts the formation energy at 0.52 eV/atom.

POSCAR file:
```
Li2LaMo
1.0
-1.1281 -2.4125 0.9052
4.4158 -1.3328 1.9511
-1.3836 2.4498 4.8049
Mo Li La
1 2 1
direct
0.5000 0.5000 0.2500 Mo
0.0000 0.0000 0.4579 Li
0.0000 0.0000 0.0421 Li
0.5000 0.5000 0.7500 La
```

=====

Record 8
Here is a geometry-optimized Ca21Zn4As18 structure from the Alexandria database. Energies are from PBE-GGA.

Properties
The symmetry is C2/m, No. 12. The crystal system is monoclinic. The calculation puts the formation energy at -1.09 eV/atom.

POSCAR file:
```
Ca21Zn4As18
1.0
-9.4891 -6.1506 1.0565
-0.7665 2.1056 11.1341
-9.2756 13.0466 -2.6603
Ca As Zn
42 36 8
direct
0.0675 0.4253 0.2432 Ca
0.2293 0.9899 0.4229 Ca
0.1802 0.5032 0.4365 Ca
0.0715 0.7638 0.3500 Ca
0.7488 0.7488 0.4185 Ca
0.7707 0.0101 0.5771 Ca
0.2488 0.9221 0.8555 Ca
0.9325 0.5747 0.7568 Ca
0.2557 0.5080 0.0554 Ca
0.5960 0.2635 0.8419 Ca
0.7375 0.7375 0.0942 Ca
0.4253 0.0675 0.2432 Ca
0.5977 0.5977 0.7433 Ca
0.7512 0.0779 0.1445 Ca
0.9899 0.2293 0.4229 Ca
0.3209 0.5716 0.6181 Ca
0.2362 0.9285 0.6500 Ca
0.9221 0.2488 0.8555 Ca
0.0779 0.7512 0.1445 Ca
0.5716 0.3209 0.6181 Ca
0.2642 0.0026 0.0600 Ca
0.6791 0.4284 0.3819 Ca
0.9974 0.7358 0.9400 Ca
0.4284 0.6791 0.3819 Ca
0.2512 0.2512 0.5815 Ca
0.7365 0.4040 0.1581 Ca
0.4968 0.8198 0.5635 Ca
0.0026 0.2642 0.0600 Ca
0.7638 0.0715 0.3500 Ca
0.9285 0.2362 0.6500 Ca
0.4023 0.4023 0.2567 Ca
0.4920 0.7443 0.9446 Ca
0.2625 0.2625 0.9058 Ca
0.4040 0.7365 0.1581 Ca
0.5080 0.2557 0.0554 Ca
0.7443 0.4920 0.9446 Ca
0.8198 0.4968 0.5635 Ca
0.7358 0.9974 0.9400 Ca
0.2635 0.5960 0.8419 Ca
0.0101 0.7707 0.5771 Ca
0.5747 0.9325 0.7568 Ca
0.5032 0.1802 0.4365 Ca
0.7541 0.2459 0.0000 As
0.7532 0.7532 0.6250 As
0.3792 0.3792 0.7420 As
0.0680 0.7891 0.7600 As
0.5700 0.5700 0.5326 As
0.0631 0.4527 0.8982 As
0.0551 0.0551 0.9437 As
0.7403 0.7403 0.8839 As
0.0453 0.0453 0.5608 As
0.9449 0.9449 0.0563 As
0.8497 0.8497 0.2518 As
0.2597 0.2597 0.1161 As
0.9320 0.2109 0.2400 As
0.5473 0.9369 0.1018 As
0.7891 0.0680 0.7600 As
0.5387 0.9265 0.3896 As
0.9547 0.9547 0.4392 As
0.6018 0.2383 0.2569 As
0.1503 0.1503 0.7482 As
0.2109 0.9320 0.2400 As
0.7617 0.3982 0.7431 As
0.4662 0.4662 0.9293 As
0.9265 0.5387 0.3896 As
0.4527 0.0631 0.8982 As
0.6208 0.6208 0.2580 As
0.2383 0.6018 0.2569 As
0.2459 0.7541 0.0000 As
0.2454 0.7546 0.5000 As
0.5338 0.5338 0.0707 As
0.4613 0.0735 0.6104 As
0.4300 0.4300 0.4674 As
0.9369 0.5473 0.1018 As
0.7546 0.2454 0.5000 As
0.0735 0.4613 0.6104 As
0.3982 0.7617 0.7431 As
0.2468 0.2468 0.3750 As
0.8409 0.8409 0.7559 Zn
0.1484 0.3811 0.7491 Zn
0.8516 0.6189 0.2509 Zn
0.3811 0.1484 0.7491 Zn
0.9991 0.9991 0.7956 Zn
0.6189 0.8516 0.2509 Zn
0.1591 0.1591 0.2441 Zn
0.0009 0.0009 0.2044 Zn
```